[1]
Sr3Sn2O7 | PBEsol | optimized geometry

a b c (Å): 20.4500 5.8161 5.7213
angles (deg): 90.00 90.00 90.00
Space group Cmcm (No. 63)
Inequivalent atoms, fractional coordinates:
Sr: 0.0000 0.2442 0.2500 [4 per cell]
Sr: 0.1871 0.2375 0.2500 [8 per cell]
Sn: 0.0989 0.2513 0.7500 [8 per cell]
O: 0.0000 0.3249 0.7500 [4 per cell]
O: 0.0825 0.0000 0.0000 [8 per cell]
O: 0.1127 0.5000 0.0000 [8 per cell]
O: 0.1975 0.1899 0.7500 [8 per cell]

Properties
spin magnetization	0.00	μB/atom
final energy	-6.604	eV/atom
energy relative to the elements, uncorrected	-2.372	eV per atom

---

[2]
Sr2SnO4 | PBEsol | optimized geometry

a b c (Å): 4.0624 4.0624 12.5521
angles (deg): 90.00 90.00 90.00
Space group I4/mmm (No. 139)
Inequivalent atoms, fractional coordinates:
Sr: 0.0000 0.0000 0.1460 [4 per cell]
Sn: 0.0000 0.0000 0.5000 [2 per cell]
O: 0.0000 0.0000 0.3356 [4 per cell]
O: 0.0000 0.5000 0.0000 [4 per cell]

Properties
spin magnetization	0.00	μB/atom
final energy	-6.563	eV/atom
energy above the lowest structure with this stoichiometry	12	meV per atom
energy relative to the elements, uncorrected	-2.429	eV per atom

---

[3]
SrSnO3 | PBEsol | optimized geometry

a b c (Å): 5.7433 8.0892 5.7148
angles (deg): 90.00 90.00 90.00
Space group Pnma (No. 62)
Inequivalent atoms, fractional coordinates:
Sr: 0.0327 0.2500 0.0074 [4 per cell]
Sn: 0.0000 0.0000 0.5000 [4 per cell]
O: 0.0180 0.7500 0.4264 [4 per cell]
O: 0.2143 0.5390 0.7864 [8 per cell]

Properties
spin magnetization	0.00	μB/atom
final energy	-6.652	eV/atom
energy relative to the elements, uncorrected	-2.283	eV per atom

---

[4]
SrSnO3 | PBEsol | optimized geometry

a b c (Å): 5.6178 5.6178 16.1172
angles (deg): 90.00 90.00 120.00
Space group R-3 (No. 148, hexagonal axes)
Inequivalent atoms, fractional coordinates:
Sr: 0.0000 0.0000 0.1336 [6 per cell]
Sn: 0.0000 0.0000 0.3426 [6 per cell]
O: 0.0154 0.4017 0.9264 [18 per cell]

Properties
spin magnetization	0.00	μB/atom
final energy	-6.607	eV/atom
energy relative to the elements, uncorrected	-2.237	eV per atom

---

[5]
SrSnO3 | PBEsol | optimized geometry

a b c (Å): 4.0631 4.0631 4.0631
angles (deg): 90.00 90.00 90.00
Space group Pm-3m (No. 221)
Inequivalent atoms, fractional coordinates:
Sr: 0.0000 0.0000 0.0000 [1 per cell]
Sn: 0.5000 0.5000 0.5000 [1 per cell]
O: 0.0000 0.5000 0.5000 [3 per cell]

Properties
spin magnetization	0.00	μB/atom
final energy	-6.602	eV/atom
energy relative to the elements, uncorrected	-2.233	eV per atom

---

[6]
Sr2SnO4 | PBEsol | optimized geometry

a b c (Å): 5.7935 5.7979 12.3774
angles (deg): 90.00 90.00 90.00
Space group Pccn (No. 56)
Inequivalent atoms, fractional coordinates:
Sr: 0.0143 0.0145 0.1467 [8 per cell]
Sn: 0.0000 0.0000 0.5000 [4 per cell]
O: 0.0423 0.0439 0.6637 [8 per cell]
O: 0.2500 0.2500 0.4701 [4 per cell]
O: 0.2500 0.7500 0.0007 [4 per cell]

Properties
spin magnetization	0.00	μB/atom
final energy	-6.575	eV/atom
energy above the lowest structure with this stoichiometry	0	meV per atom
energy relative to the elements, uncorrected	-2.441	eV per atom

---

[7]
SrTlSnO2 | PBEsol | optimized geometry

a b c (Å): 4.3700 4.3700 5.4473
angles (deg): 90.00 90.00 90.00
Space group P4/mmm (No. 123)
Inequivalent atoms, fractional coordinates:
Sr: 0.0000 0.0000 0.0000 [1 per cell]
Tl: 0.5000 0.5000 0.0000 [1 per cell]
Sn: 0.5000 0.5000 0.5000 [1 per cell]
O: 0.0000 0.5000 0.5000 [2 per cell]

Properties
spin magnetization	0.00	μB/atom
final energy	-4.457	eV/atom
energy relative to the elements, uncorrected	-0.611	eV per atom

---

[8]
Ta2Sn2O7 | PBEsol | optimized geometry

a b c (Å): 10.6061 10.6061 10.6061
angles (deg): 90.00 90.00 90.00
Space group Fd-3m (No. 227, origin choice 2)
Inequivalent atoms, fractional coordinates:
Ta: 0.0000 0.0000 0.0000 [16 per cell]
Sn: 0.0000 0.0000 0.5000 [16 per cell]
O: 0.0632 0.3750 0.3750 [48 per cell]
O: 0.1250 0.1250 0.6250 [8 per cell]

Properties
spin magnetization	0.00	μB/atom
final energy	-8.622	eV/atom
energy relative to the elements, uncorrected	-2.225	eV per atom

---

[9]
Ta2SnO6 | PBEsol | optimized geometry

a b c (Å): 17.2330 4.8625 5.5484
angles (deg): 90.00 91.45 90.00
Space group C2/c (No. 15)
Inequivalent atoms, fractional coordinates:
Ta: 0.1698 0.2423 0.1609 [8 per cell]
Sn: 0.0000 0.2345 0.7500 [4 per cell]
O: 0.0726 0.0783 0.0917 [8 per cell]
O: 0.1432 0.4621 0.4254 [8 per cell]
O: 0.2193 0.0617 0.8520 [8 per cell]

Properties
spin magnetization	0.00	μB/atom
final energy	-9.292	eV/atom
energy relative to the elements, uncorrected	-2.530	eV per atom

---

[10]
Y2TcSnO | PBEsol | optimized geometry

a b c (Å): 5.6197 5.6197 4.7857
angles (deg): 90.00 90.00 90.00
Space group P4/mmm (No. 123)
Inequivalent atoms, fractional coordinates:
Y: 0.0000 0.5000 0.0000 [2 per cell]
Tc: 0.0000 0.0000 0.5000 [1 per cell]
Sn: 0.0000 0.0000 0.0000 [1 per cell]
O: 0.5000 0.5000 0.5000 [1 per cell]

Properties
spin magnetization	0.35	μB/atom
final energy	-5.789	eV/atom
energy relative to the elements, uncorrected	1.095	eV per atom